{
  "formula": "Pm3Cd2Ag",
  "functional": "PBE",
  "state": "optimized geometry",
  "vol_a3_per_cell": 164,
  "delta_e_f_ev_per_atom": -0.301,
  "lattice": [[3.798, 0.000, 0.000], [0.000, 3.798, 0.000], [0.000, 0.000, 11.376]],
  "species": ["Pm", "Pm", "Pm", "Cd", "Cd", "Ag"],
  "fractional_positions": [[0.000, 0.000, 0.000], [0.000, 0.000, 0.339], [0.000, 0.000, 0.661], [0.500, 0.500, 0.167], [0.500, 0.500, 0.833], [0.500, 0.500, 0.500]]
}



{
  "formula": "Pm6Cd3Ag",
  "functional": "PBE",
  "state": "optimized geometry",
  "vol_a3_per_cell": 572,
  "delta_e_f_ev_per_atom": -0.208,
  "lattice": [[9.295, 0.000, 0.000], [0.000, 5.445, 0.000], [-4.105, 0.000, 11.308]],
  "species": ["Pm", "Pm", "Pm", "Pm", "Pm", "Pm", "Pm", "Pm", "Pm", "Pm", "Pm", "Pm", "Cd", "Cd", "Cd", "Cd", "Cd", "Cd", "Ag", "Ag"],
  "fractional_positions": [[0.038, 0.250, 0.416], [0.165, 0.750, 0.171], [0.249, 0.250, 0.002], [0.349, 0.750, 0.806], [0.362, 0.250, 0.347], [0.412, 0.250, 0.636], [0.588, 0.750, 0.364], [0.638, 0.750, 0.653], [0.651, 0.250, 0.194], [0.751, 0.750, 0.998], [0.835, 0.250, 0.829], [0.962, 0.750, 0.584], [0.030, 0.750, 0.872], [0.105, 0.250, 0.715], [0.269, 0.750, 0.476], [0.731, 0.250, 0.524], [0.895, 0.750, 0.285], [0.970, 0.250, 0.128], [0.454, 0.750, 0.085], [0.546, 0.250, 0.915]]
}